Record 1
VASP calculation (GGA-PBE) on BaZrAl2 after structural relaxation.

## Properties
The calculation puts the calculated formation energy at 0.167 eV per atom. The value obtained for the energy above the most stable polymorph in this dataset is 343 meV per atom.

```
BaZrAl2
1.0
-1.5979 2.8098 5.5407
1.5979 -2.8098 5.5407
1.5979 2.8098 -5.5407
Ba Zr Al
1 1 2
Direct
0.0000 0.0000 0.0000
0.2905 0.7905 0.5000
0.5212 0.5212 0.0000
0.7266 0.2266 0.5000
```

***

Record 2
VASP calculation (GGA-PBE) on MnGa3Cu12 after structural relaxation.

## Properties
The calculation puts the calculated formation energy at -0.044 eV per atom.

```
MnGa3Cu12
1.0
3.6879 0.0000 0.0000
0.0000 3.6879 0.0000
0.0000 0.0000 14.8758
Mn Ga Cu
1 3 12
Direct
0.0000 0.0000 0.0000
0.0000 0.0000 0.2485
0.0000 0.0000 0.5000
0.0000 0.0000 0.7515
0.0000 0.5000 0.1246
0.0000 0.5000 0.3748
0.0000 0.5000 0.6252
0.0000 0.5000 0.8754
0.5000 0.0000 0.1246
0.5000 0.0000 0.3748
0.5000 0.0000 0.6252
0.5000 0.0000 0.8754
0.5000 0.5000 0.0000
0.5000 0.5000 0.2517
0.5000 0.5000 0.5000
0.5000 0.5000 0.7483
```

***

Record 3
VASP calculation (GGA-PBE) on Sr3Cu2O7 after structural relaxation.

```
Sr3Cu2O7
1.0
-1.9535 1.9535 10.0163
1.9535 -1.9535 10.0163
1.9535 1.9535 -10.0163
Sr Cu O
3 2 7
Direct
0.0000 0.0000 0.0000
0.1808 0.1808 0.0000
0.8192 0.8192 0.0000
0.4018 0.4018 0.0000
0.5982 0.5982 0.0000
0.0946 0.5946 0.5000
0.3057 0.3057 0.0000
0.4054 0.9054 0.5000
0.5000 0.5000 0.0000
0.5946 0.0946 0.5000
0.6943 0.6943 0.0000
0.9054 0.4054 0.5000
```

***

Record 4
VASP calculation (GGA-PBE) on Pt4RhSe after structural relaxation.

```
Pt4RhSe
1.0
0.0000 3.7225 3.7225
3.7225 0.0000 3.7225
3.7225 3.7225 0.0000
Pt Rh Se
4 1 1
Direct
0.1247 0.1247 0.1247
0.1247 0.1247 0.6260
0.1247 0.6260 0.1247
0.6260 0.1247 0.1247
0.7500 0.7500 0.7500
0.5000 0.5000 0.5000
```

***

Record 5
VASP calculation (GGA-PBE) on Cs2SiHI6 after structural relaxation.

```
Cs2SiHI6
1.0
-3.8537 3.8537 6.4488
3.8537 -3.8537 6.4488
3.8537 3.8537 -6.4488
Cs Si H I
2 1 1 6
Direct
0.2500 0.7500 0.5000
0.7500 0.2500 0.5000
0.0000 0.0000 0.0000
0.5000 0.5000 0.0000
0.2158 0.2158 0.0000
0.2520 0.2520 0.5040
0.2520 0.7480 0.0000
0.7480 0.2520 0.0000
0.7480 0.7480 0.4960
0.7842 0.7842 0.0000
```

***

Record 6
VASP calculation (GGA-PBE) on BeIr2W after structural relaxation.

## Properties
The calculation puts the calculated formation energy at 0.140 eV per atom.

```
BeIr2W
1.0
1.4400 -2.2948 0.0000
1.4400 2.2948 0.0000
0.0000 0.0000 8.4677
Be Ir W
1 2 1
Direct
0.0000 0.0000 0.0000
0.0000 0.0000 0.4922
0.5000 0.5000 0.2057
0.5000 0.5000 0.7537
```

***

Record 7
VASP calculation (GGA-PBE) on NpAgH6Rh after structural relaxation.

```
NpAgH6Rh
1.0
4.7412 0.0000 0.0000
-2.3706 4.1060 0.0000
0.0000 0.0000 4.3315
Np Ag H Rh
1 1 6 1
Direct
0.0000 0.0000 0.0000
0.3333 0.6667 0.5000
0.5184 0.0368 0.2157
0.5184 0.0368 0.7843
0.5184 0.4816 0.2157
0.5184 0.4816 0.7843
0.9632 0.4816 0.2157
0.9632 0.4816 0.7843
0.6667 0.3333 0.5000
```

***

Record 8
VASP calculation (GGA-PBE) on LiSb2Cl after structural relaxation.

## Properties
The value obtained for the energy above the most stable polymorph in this dataset is 521 meV per atom.

```
LiSb2Cl
1.0
3.2861 0.0000 0.0000
0.0000 5.2827 0.0000
0.0000 0.0000 5.5786
Li Sb Cl
1 2 1
Direct
0.0000 0.0000 0.0000
0.0000 0.5000 0.5000
0.5000 0.5000 0.0000
0.5000 0.0000 0.5000
```

***

Looking at total DFT energy (no corrections) for the records above, in order, we have -4.3219, -4.2566, -5.5872, -5.3816, -2.4857, -8.4604, -4.8143, -3.2967 eV/atom.
Looking at total moment for the records above, in order, we have 0.0, 3.9, 0.8, 0.0, 0.0, 0.0, 4.2, 0.0 μB per formula unit.